<a>
A crystal of La2TePb relaxed with PBEsol, computed with meta-GGA SCAN. Values from VASP.

Summary:
Size of the total moment = 0.00 μB per cell
Crystal system = trigonal
Space group = R-3m (166)
Volume = 135.5 Å³ per cell
Mass density = 7.5 g/cm3

Structure (Quantum ESPRESSO input):
```
&SYSTEM
  ibrav = 0, nat = 4, ntyp = 3
/
ATOMIC_SPECIES
La 138.91 La.upf
Te 127.60 Te.upf
Pb 207.20 Pb.upf
CELL_PARAMETERS angstrom
2.2940 1.3245 7.4337
-2.2940 1.3245 7.4337
0.0000 -2.6489 7.4337
ATOMIC_POSITIONS crystal
La 0.2485 0.2485 0.2485
La 0.7515 0.7515 0.7515
Te 0.0000 0.0000 0.0000
Pb 0.5000 0.5000 0.5000
```

<b>
A crystal of La2TePb relaxed with PBEsol, computed with meta-GGA SCAN. Values from VASP.

Summary:
Size of the total moment = 0.00 μB per cell
Crystal system = orthorhombic
Space group = Immm (71)
Volume = 122.2 Å³ per cell
Mass density = 8.3 g/cm3

Structure (Quantum ESPRESSO input):
```
&SYSTEM
  ibrav = 0, nat = 4, ntyp = 3
/
ATOMIC_SPECIES
La 138.91 La.upf
Te 127.60 Te.upf
Pb 207.20 Pb.upf
CELL_PARAMETERS angstrom
-2.5099 2.9377 4.1434
2.5099 -2.9377 4.1434
2.5099 2.9377 -4.1434
ATOMIC_POSITIONS crystal
La 0.2472 0.2472 0.0000
La 0.7528 0.7528 0.0000
Te 0.0000 0.5000 0.5000
Pb 0.5000 0.0000 0.5000
```

Most stable structure - <a>; separation to the second - 0.256 eV/atom.

<a>
A crystal of La2TePb relaxed with PBEsol, computed with meta-GGA SCAN. Values from VASP.

Summary:
Size of the total moment = 0.86 μB per cell
Crystal system = tetragonal
Space group = P4/mmm (123)
Volume = 119.1 Å³ per cell
Mass density = 8.5 g/cm3

Structure (Quantum ESPRESSO input):
```
&SYSTEM
  ibrav = 0, nat = 4, ntyp = 3
/
ATOMIC_SPECIES
La 138.91 La.upf
Te 127.60 Te.upf
Pb 207.20 Pb.upf
CELL_PARAMETERS angstrom
3.7702 0.0000 0.0000
0.0000 3.7702 0.0000
0.0000 0.0000 8.3770
ATOMIC_POSITIONS crystal
La 0.0000 0.0000 0.2387
La 0.0000 0.0000 0.7613
Te 0.5000 0.5000 0.0000
Pb 0.5000 0.5000 0.5000
```

<b>
A crystal of La2TePb relaxed with PBEsol, computed with meta-GGA SCAN. Values from VASP.

Summary:
Size of the total moment = 0.00 μB per cell
Crystal system = tetragonal
Space group = P4/mmm (123)
Volume = 134.6 Å³ per cell
Mass density = 7.6 g/cm3

Structure (Quantum ESPRESSO input):
```
&SYSTEM
  ibrav = 0, nat = 4, ntyp = 3
/
ATOMIC_SPECIES
La 138.91 La.upf
Te 127.60 Te.upf
Pb 207.20 Pb.upf
CELL_PARAMETERS angstrom
4.5686 0.0000 0.0000
0.0000 4.5686 0.0000
0.0000 0.0000 6.4467
ATOMIC_POSITIONS crystal
La 0.0000 0.0000 0.0000
La 0.5000 0.5000 0.5000
Te 0.0000 0.0000 0.5000
Pb 0.5000 0.5000 0.0000
```

Most stable structure - <b>; separation to the second - 0.203 eV/atom.

<a>
A crystal of La5Pt3 relaxed with PBEsol, computed with meta-GGA SCAN. Values from VASP.

Summary:
Size of the total moment = 0.00 μB per cell
Crystal system = hexagonal
Space group = P6_3/mcm (193)
Volume = 425.4 Å³ per cell
Mass density = 10.0 g/cm3

Structure (Quantum ESPRESSO input):
```
&SYSTEM
  ibrav = 0, nat = 16, ntyp = 2
/
ATOMIC_SPECIES
La 138.91 La.upf
Pt 195.08 Pt.upf
CELL_PARAMETERS angstrom
8.5223 0.0000 0.0000
-4.2611 7.3805 0.0000
0.0000 0.0000 6.7635
ATOMIC_POSITIONS crystal
La 0.0000 0.2490 0.2500
La 0.0000 0.7510 0.7500
La 0.2490 0.0000 0.2500
La 0.2490 0.2490 0.7500
La 0.3333 0.6667 0.0000
La 0.3333 0.6667 0.5000
La 0.6667 0.3333 0.0000
La 0.6667 0.3333 0.5000
La 0.7510 0.0000 0.7500
La 0.7510 0.7510 0.2500
Pt 0.0000 0.3891 0.7500
Pt 0.0000 0.6109 0.2500
Pt 0.3891 0.0000 0.7500
Pt 0.3891 0.3891 0.2500
Pt 0.6109 0.0000 0.2500
Pt 0.6109 0.6109 0.7500
```

<b>
A crystal of La5Pt3 relaxed with PBEsol, computed with meta-GGA SCAN. Values from VASP.

Summary:
Size of the total moment = 0.00 μB per cell
Crystal system = tetragonal
Space group = I4/mcm (140)
Volume = 413.7 Å³ per cell
Mass density = 10.3 g/cm3

Structure (Quantum ESPRESSO input):
```
&SYSTEM
  ibrav = 0, nat = 16, ntyp = 2
/
ATOMIC_SPECIES
La 138.91 La.upf
Pt 195.08 Pt.upf
CELL_PARAMETERS angstrom
-5.7024 5.7024 3.1804
5.7024 -5.7024 3.1804
5.7024 5.7024 -3.1804
ATOMIC_POSITIONS crystal
La 0.0855 0.7881 0.8736
La 0.2119 0.0855 0.2974
La 0.2500 0.7500 0.5000
La 0.2881 0.5855 0.8736
La 0.4145 0.2881 0.7026
La 0.5855 0.7119 0.2974
La 0.7119 0.4145 0.1264
La 0.7500 0.2500 0.5000
La 0.7881 0.9145 0.7026
La 0.9145 0.2119 0.1264
Pt 0.1574 0.3426 0.5000
Pt 0.2500 0.2500 0.0000
Pt 0.3426 0.8426 0.1852
Pt 0.6574 0.1574 0.8148
Pt 0.7500 0.7500 0.0000
Pt 0.8426 0.6574 0.5000
```

Most stable structure - <a>; separation to the second - 0.059 eV/atom.

<a>
A crystal of LaRePt2 relaxed with PBEsol, computed with meta-GGA SCAN. Values from VASP.

Summary:
Size of the total moment = 0.00 μB per cell
Crystal system = tetragonal
Space group = P4/mmm (123)
Volume = 70.0 Å³ per cell
Mass density = 17.0 g/cm3

Structure (Quantum ESPRESSO input):
```
&SYSTEM
  ibrav = 0, nat = 4, ntyp = 3
/
ATOMIC_SPECIES
La 138.91 La.upf
Re 186.21 Re.upf
Pt 195.08 Pt.upf
CELL_PARAMETERS angstrom
2.8476 0.0000 0.0000
0.0000 2.8476 0.0000
0.0000 0.0000 8.6328
ATOMIC_POSITIONS crystal
La 0.0000 0.0000 0.0000
Re 0.0000 0.0000 0.5000
Pt 0.5000 0.5000 0.2894
Pt 0.5000 0.5000 0.7106
```

<b>
A crystal of LaRePt2 relaxed with PBEsol, computed with meta-GGA SCAN. Values from VASP.

Summary:
Size of the total moment = 0.00 μB per cell
Crystal system = monoclinic
Space group = Cm (8)
Volume = 74.0 Å³ per cell
Mass density = 16.1 g/cm3

Structure (Quantum ESPRESSO input):
```
&SYSTEM
  ibrav = 0, nat = 4, ntyp = 3
/
ATOMIC_SPECIES
La 138.91 La.upf
Re 186.21 Re.upf
Pt 195.08 Pt.upf
CELL_PARAMETERS angstrom
4.7384 -1.4480 0.0000
4.7384 1.4480 0.0000
-0.9971 0.0000 5.3928
ATOMIC_POSITIONS crystal
La 0.0000 0.0000 0.0000
Re 0.7539 0.7539 0.3430
Pt 0.2361 0.2361 0.7367
Pt 0.4898 0.4898 0.4754
```

Most stable structure - <a>; separation to the second - 0.058 eV/atom.

<a>
A crystal of La2ScPt relaxed with PBEsol, computed with meta-GGA SCAN. Values from VASP.

Summary:
Size of the total moment = 0.00 μB per cell
Crystal system = tetragonal
Space group = P4mm (99)
Volume = 103.0 Å³ per cell
Mass density = 8.4 g/cm3

Structure (Quantum ESPRESSO input):
```
&SYSTEM
  ibrav = 0, nat = 4, ntyp = 3
/
ATOMIC_SPECIES
La 138.91 La.upf
Sc 44.96 Sc.upf
Pt 195.08 Pt.upf
CELL_PARAMETERS angstrom
3.4770 0.0000 0.0000
0.0000 3.4770 0.0000
0.0000 0.0000 8.5174
ATOMIC_POSITIONS crystal
La 0.0000 0.0000 0.0000
La 0.5000 0.5000 0.3276
Sc 0.5000 0.5000 0.7081
Pt 0.0000 0.0000 0.5590
```

<b>
A crystal of La2ScPt relaxed with PBEsol, computed with meta-GGA SCAN. Values from VASP.

Summary:
Size of the total moment = 0.00 μB per cell
Crystal system = tetragonal
Space group = P4/mmm (123)
Volume = 104.7 Å³ per cell
Mass density = 8.2 g/cm3

Structure (Quantum ESPRESSO input):
```
&SYSTEM
  ibrav = 0, nat = 4, ntyp = 3
/
ATOMIC_SPECIES
La 138.91 La.upf
Sc 44.96 Sc.upf
Pt 195.08 Pt.upf
CELL_PARAMETERS angstrom
3.7554 0.0000 0.0000
0.0000 3.7554 0.0000
0.0000 0.0000 7.4258
ATOMIC_POSITIONS crystal
La 0.0000 0.0000 0.2172
La 0.0000 0.0000 0.7828
Sc 0.5000 0.5000 0.5000
Pt 0.5000 0.5000 0.0000
```

Most stable structure - <a>; separation to the second - 0.083 eV/atom.

<a>
A crystal of LaPtSe2 relaxed with PBEsol, computed with meta-GGA SCAN. Values from VASP.

Summary:
Size of the total moment = 0.00 μB per cell
Crystal system = orthorhombic
Space group = Fmmm (69)
Volume = 92.0 Å³ per cell
Mass density = 8.9 g/cm3

Structure (Quantum ESPRESSO input):
```
&SYSTEM
  ibrav = 0, nat = 4, ntyp = 3
/
ATOMIC_SPECIES
La 138.91 La.upf
Pt 195.08 Pt.upf
Se 78.96 Se.upf
CELL_PARAMETERS angstrom
0.0000 3.5978 4.5322
2.8196 0.0000 4.5322
2.8196 3.5978 0.0000
ATOMIC_POSITIONS crystal
La 0.0000 0.0000 0.0000
Pt 0.5000 0.5000 0.5000
Se 0.0000 0.5000 0.5000
Se 0.5000 0.0000 0.0000
```

<b>
A crystal of LaPtSe2 relaxed with PBEsol, computed with meta-GGA SCAN. Values from VASP.

Summary:
Size of the total moment = 0.00 μB per cell
Crystal system = orthorhombic
Space group = Immm (71)
Volume = 86.7 Å³ per cell
Mass density = 9.4 g/cm3

Structure (Quantum ESPRESSO input):
```
&SYSTEM
  ibrav = 0, nat = 4, ntyp = 3
/
ATOMIC_SPECIES
La 138.91 La.upf
Pt 195.08 Pt.upf
Se 78.96 Se.upf
CELL_PARAMETERS angstrom
-2.0658 2.7629 3.7981
2.0658 -2.7629 3.7981
2.0658 2.7629 -3.7981
ATOMIC_POSITIONS crystal
La 0.0000 0.0000 0.0000
Pt 0.5000 0.5000 0.0000
Se 0.3005 0.8005 0.5000
Se 0.6995 0.1995 0.5000
```

Most stable structure - <b>; separation to the second - 0.232 eV/atom.